CrCdSnOs2: optimized geometry, PBE.

Space-group type = P4/mmm
E = -4.8942 eV per atom

The structure in extended XYZ format:
```
5
Lattice="4.856 0.000 0.000 0.000 4.633 0.000 0.000 0.000 4.856" Properties=species:S:1:pos:R:3 pbc="T T T"
Os 0.000 0.000 2.428
Os 2.428 0.000 0.000
Sn 2.428 2.316 2.428
Cd 0.000 0.000 0.000
Cr 0.000 2.316 0.000
```

---

Pm12Dy2Ho5: optimized geometry, PBE.

Space-group type = C2/m
E = -4.5686 eV per atom

The structure in extended XYZ format:
```
19
Lattice="9.271 0.000 0.000 -4.635 11.426 -2.014 0.000 -5.228 6.967" Properties=species:S:1:pos:R:3 pbc="T T T"
Ho 0.000 -2.614 3.483
Ho 4.635 5.594 -0.342
Ho 0.000 0.604 5.295
Ho 0.000 3.572 3.130
Ho 4.635 2.626 1.823
Dy 6.231 0.000 0.000
Dy 3.040 0.000 0.000
Pm 2.952 3.073 5.101
Pm -1.814 6.313 1.420
Pm 4.635 5.765 3.305
Pm 1.814 6.313 1.420
Pm 6.450 -0.115 3.533
Pm 1.684 3.124 -0.148
Pm 2.821 -0.115 3.533
Pm 0.000 0.433 1.648
Pm -2.952 3.073 5.101
Pm 0.000 8.883 -0.240
Pm 7.587 3.124 -0.148
Pm 4.635 -2.685 5.193
```

---

SrSc4Tl: optimized geometry, PBE.

Space-group type = F-43m
E = -4.6756 eV per atom

The structure in extended XYZ format:
```
6
Lattice="-0.480 -4.420 -4.336 -5.381 -2.998 -0.796 -3.392 1.011 -5.103" Properties=species:S:1:pos:R:3 pbc="T T T"
Tl 0.000 0.000 0.000
Sc -6.165 -3.904 -4.234
Sc -3.707 -4.617 -6.009
Sc -3.466 -2.400 -3.834
Sc -5.168 -1.893 -6.394
Sr -6.940 -4.805 -7.677
```

---

Going through the records in order, we get V values of 21.85; 33.70; 28.23 A^3/atom.
Going through the records in order, we get formation energy values of 2.506; 0.121; 0.220 eV/atom.